VASP calculation (GGA-PBE) on crystalline SbAs4Au at its relaxed geometry.

- Electronic total energy: -3.829 eV per atom
- ΔE_f (raw): 0.504 eV/atom
- V: 21.3 Å³ per atom

Cell lengths 5.6538, 5.6538, 5.6538 Å; angles 60.00, 60.00, 60.00 degrees
Fractional coordinates of all 6 atoms:
1 Sb 0.0000 0.0000 0.0000
2 As 0.1347 0.6218 0.6218
3 As 0.6218 0.1347 0.6218
4 As 0.6218 0.6218 0.1347
5 As 0.6218 0.6218 0.6218
6 Au 0.2500 0.2500 0.2500

VASP calculation (GGA-PBE) on crystalline Sb2AsAu at its relaxed geometry.

- Electronic total energy: -3.988 eV per atom
- ΔE_f (raw): 0.055 eV/atom
- V: 31.0 Å³ per atom

Cell lengths 7.6844, 7.6844, 7.6844 Å; angles 131.65, 131.65, 70.78 degrees
Fractional coordinates of all 8 atoms:
1 Sb 0.1161 0.6250 0.9911
2 Sb 0.3750 0.3661 0.4911
3 Sb 0.6339 0.1250 0.0089
4 Sb 0.8750 0.8839 0.5089
5 As 0.2500 0.7500 0.5000
6 As 0.5000 0.5000 0.0000
7 Au 0.0000 0.0000 0.0000
8 Au 0.7500 0.2500 0.5000

VASP calculation (GGA-PBE) on crystalline Sb2AsAu at its relaxed geometry.

- Electronic total energy: -4.013 eV per atom
- ΔE_f (raw): 0.030 eV/atom
- V: 24.6 Å³ per atom

Cell lengths 5.6940, 5.6940, 3.0405 Å; angles 91.06, 91.06, 89.50 degrees
Fractional coordinates of all 4 atoms:
1 Sb 0.0000 0.5000 0.0000
2 Sb 0.5000 0.0000 0.0000
3 As 0.0000 0.0000 0.0000
4 Au 0.5000 0.5000 0.0000

VASP calculation (GGA-PBE) on crystalline Sb2AsAu at its relaxed geometry.

- Electronic total energy: -3.983 eV per atom
- ΔE_f (raw): 0.059 eV/atom
- V: 24.6 Å³ per atom

Cell lengths 7.6195, 7.6195, 7.6195 Å; angles 30.06, 30.06, 30.06 degrees
Fractional coordinates of all 4 atoms:
1 Sb 0.0000 0.0000 0.0000
2 Sb 0.1666 0.1666 0.1666
3 As 0.5811 0.5811 0.5811
4 Au 0.7506 0.7506 0.7506

VASP calculation (GGA-PBE) on crystalline Sb2AsAu at its relaxed geometry.

- Electronic total energy: -4.002 eV per atom
- ΔE_f (raw): 0.041 eV/atom
- V: 24.7 Å³ per atom

Cell lengths 3.0334, 4.0123, 8.1272 Å; angles 90.00, 90.90, 90.00 degrees
Fractional coordinates of all 4 atoms:
1 Sb 0.0082 0.0000 0.2556
2 Sb 0.9918 0.0000 0.7444
3 As 0.0000 0.5000 0.0000
4 Au 0.0000 0.5000 0.5000

VASP calculation (GGA-PBE) on crystalline Sb2AsAu at its relaxed geometry.

- Electronic total energy: -4.068 eV per atom
- ΔE_f (raw): -0.025 eV/atom
- V: 24.5 Å³ per atom

Cell lengths 6.4420, 6.4420, 4.3058 Å; angles 108.93, 108.93, 35.75 degrees
Fractional coordinates of all 4 atoms:
1 Sb 0.0000 0.0000 0.0000
2 Sb 0.7332 0.7332 0.6871
3 As 0.2602 0.2602 0.2876
4 Au 0.4910 0.4910 0.4897

VASP calculation (GGA-PBE) on crystalline Sb2As2Au at its relaxed geometry.

- Electronic total energy: -3.934 eV per atom
- ΔE_f (raw): 0.230 eV/atom
- V: 23.5 Å³ per atom
- Relative energy among the computed polymorphs: 178 meV/atom

Cell lengths 8.7366, 8.7366, 8.7366 Å; angles 155.17, 155.17, 35.40 degrees
Fractional coordinates of all 5 atoms:
1 Sb 0.0929 0.0929 0.0000
2 Sb 0.9071 0.9071 0.0000
3 As 0.2500 0.7500 0.5000
4 As 0.7500 0.2500 0.5000
5 Au 0.5000 0.5000 0.0000

VASP calculation (GGA-PBE) on crystalline Sb2As2Au at its relaxed geometry.

- Electronic total energy: -4.112 eV per atom
- ΔE_f (raw): 0.052 eV/atom
- V: 26.5 Å³ per atom
- Relative energy among the computed polymorphs: 0 meV/atom

Cell lengths 4.1667, 5.3879, 6.6592 Å; angles 68.00, 73.30, 85.47 degrees
Fractional coordinates of all 5 atoms:
1 Sb 0.2479 0.2081 0.4333
2 Sb 0.7521 0.7919 0.5667
3 As 0.0393 0.2951 0.8267
4 As 0.9607 0.7049 0.1733
5 Au 0.5000 0.0000 0.0000

VASP calculation (GGA-PBE) on crystalline Sb2AsAu at its relaxed geometry.

- Electronic total energy: -3.781 eV per atom
- ΔE_f (raw): 0.262 eV/atom
- V: 23.4 Å³ per atom

Cell lengths 3.3747, 3.3747, 8.6953 Å; angles 90.00, 90.00, 109.07 degrees
Fractional coordinates of all 4 atoms:
1 Sb 0.0000 0.0000 0.2441
2 Sb 0.0000 0.0000 0.7559
3 As 0.5000 0.5000 0.5000
4 Au 0.5000 0.5000 0.0000

VASP calculation (GGA-PBE) on crystalline SbAs2Au2 at its relaxed geometry.

- Electronic total energy: -3.769 eV per atom
- ΔE_f (raw): 0.226 eV/atom
- V: 21.7 Å³ per atom
- Relative energy among the computed polymorphs: 13 meV/atom

Cell lengths 6.9839, 6.9839, 6.9839 Å; angles 145.53, 145.53, 49.54 degrees
Fractional coordinates of all 5 atoms:
1 Sb 0.0000 0.0000 0.0000
2 As 0.2500 0.7500 0.5000
3 As 0.7500 0.2500 0.5000
4 Au 0.3936 0.3936 0.0000
5 Au 0.6064 0.6064 0.0000

VASP calculation (GGA-PBE) on crystalline Sb2AsAu at its relaxed geometry.

- Electronic total energy: -3.722 eV per atom
- ΔE_f (raw): 0.321 eV/atom
- V: 23.2 Å³ per atom

Cell lengths 5.0790, 5.0790, 5.0790 Å; angles 60.00, 60.00, 60.00 degrees
Fractional coordinates of all 4 atoms:
1 Sb 0.0000 0.0000 0.0000
2 Sb 0.2500 0.2500 0.2500
3 As 0.7500 0.7500 0.7500
4 Au 0.5000 0.5000 0.5000

VASP calculation (GGA-PBE) on crystalline Sb2AsAu at its relaxed geometry.

- Electronic total energy: -3.799 eV per atom
- ΔE_f (raw): 0.244 eV/atom
- V: 22.8 Å³ per atom

Cell lengths 3.2404, 3.6459, 7.7091 Å; angles 90.00, 90.00, 90.00 degrees
Fractional coordinates of all 4 atoms:
1 Sb 0.0000 0.0000 0.2482
2 Sb 0.0000 0.0000 0.7518
3 As 0.5000 0.5000 0.5000
4 Au 0.5000 0.5000 0.0000

Repeat the third record exactly.
VASP calculation (GGA-PBE) on crystalline Sb2AsAu at its relaxed geometry.

- Electronic total energy: -4.013 eV per atom
- ΔE_f (raw): 0.030 eV/atom
- V: 24.6 Å³ per atom

Cell lengths 5.6940, 5.6940, 3.0405 Å; angles 91.06, 91.06, 89.50 degrees
Fractional coordinates of all 4 atoms:
1 Sb 0.0000 0.5000 0.0000
2 Sb 0.5000 0.0000 0.0000
3 As 0.0000 0.0000 0.0000
4 Au 0.5000 0.5000 0.0000

Please write out number 9 again, unchanged.
VASP calculation (GGA-PBE) on crystalline Sb2AsAu at its relaxed geometry.

- Electronic total energy: -3.781 eV per atom
- ΔE_f (raw): 0.262 eV/atom
- V: 23.4 Å³ per atom

Cell lengths 3.3747, 3.3747, 8.6953 Å; angles 90.00, 90.00, 109.07 degrees
Fractional coordinates of all 4 atoms:
1 Sb 0.0000 0.0000 0.2441
2 Sb 0.0000 0.0000 0.7559
3 As 0.5000 0.5000 0.5000
4 Au 0.5000 0.5000 0.0000

Repeat the second record exactly.
VASP calculation (GGA-PBE) on crystalline Sb2AsAu at its relaxed geometry.

- Electronic total energy: -3.988 eV per atom
- ΔE_f (raw): 0.055 eV/atom
- V: 31.0 Å³ per atom

Cell lengths 7.6844, 7.6844, 7.6844 Å; angles 131.65, 131.65, 70.78 degrees
Fractional coordinates of all 8 atoms:
1 Sb 0.1161 0.6250 0.9911
2 Sb 0.3750 0.3661 0.4911
3 Sb 0.6339 0.1250 0.0089
4 Sb 0.8750 0.8839 0.5089
5 As 0.2500 0.7500 0.5000
6 As 0.5000 0.5000 0.0000
7 Au 0.0000 0.0000 0.0000
8 Au 0.7500 0.2500 0.5000